This record from Alexandria via LeMat-Bulk describes a geometry-optimized Sr3Cd structure. The functional is GGA-PBEsol.

```
8
Lattice="4.171 0.000 0.000 0.000 6.200 0.000 0.000 0.000 12.819" Properties=species:S:1:pos:R:3 pbc="T T T"
Sr 0.000 0.000 0.000
Sr 0.000 3.100 2.603
Sr 0.000 3.100 10.217
Sr 2.086 0.000 3.807
Sr 2.086 0.000 9.012
Sr 2.086 3.100 6.410
Cd 0.000 0.000 6.410
Cd 2.086 3.100 0.000
```

Energy relative to the elements: -107 meV per atom
Calculated volume: 41.44 Å³ per atom
Excess energy over the best structure of this formula in the dataset: 0.0544 eV/atom
Symmetry: Immm (71)
Magnetic moment: 0.00 μB per formula unit